--- A ---
# RbAlAu

An optimized crystal structure of RbAlAu (PBE, the Alexandria database).

The spin magnetization comes out at 0.0 μB per formula unit. The calculation puts the density at 5.250 Mg/m³. The calculated volume comes out at 98 Å³/cell.

Cell lengths 4.3613, 4.3613, 5.9413 Å; angles 90.00, 90.00, 120.00 degrees
Space group P-6m2 (No. 187)
One atom of each set of equivalent atoms:
Rb1 0.0000 0.0000 0.0000 x1
Al1 0.3333 0.6667 0.5000 x1
Au1 0.6667 0.3333 0.5000 x1

---

--- B ---
# RbAlAu

An optimized crystal structure of RbAlAu (PBE, the Alexandria database).

The spin magnetization comes out at 0.0 μB per formula unit. The calculation puts the density at 5.723 Mg/m³. The calculated volume comes out at 180 Å³/cell.

Cell lengths 4.670, 4.670, 8.233 Å; angles 90.00, 90.00, 90.00 degrees
Space group P4/nmm (No. 129, origin choice 2)
One atom of each set of equivalent atoms:
Rb1 0.250 0.250 0.148 x2
Al1 0.250 0.750 0.500 x2
Au1 0.250 0.250 0.642 x2

---

Result of the stability comparison: B is the most stable of them.

---

--- A ---
# AlReAu3

An optimized crystal structure of AlReAu3 (PBE, the Alexandria database).

The spin magnetization comes out at 3.8 μB per formula unit. The calculation puts the density at 12.611 Mg/m³. The calculated volume comes out at 106 Å³/cell.

Cell lengths 4.731, 4.731, 4.731 Å; angles 90.00, 90.00, 90.00 degrees
Space group Pm-3m (No. 221)
One atom of each set of equivalent atoms:
Al1 0.000 0.000 0.000 x1
Re1 0.500 0.500 0.500 x1
Au1 0.000 0.000 0.500 x3

---

--- B ---
# AlReAu3

An optimized crystal structure of AlReAu3 (PBE, the Alexandria database).

The spin magnetization comes out at 0.3 μB per formula unit. The calculation puts the density at 10.256 Mg/m³. The calculated volume comes out at 130 Å³/cell.

Cell lengths 5.068, 5.068, 5.068 Å; angles 90.00, 90.00, 90.00 degrees
Space group Pm-3m (No. 221)
One atom of each set of equivalent atoms:
Al1 0.000 0.000 0.000 x1
Re1 0.500 0.500 0.500 x1
Au1 0.000 0.500 0.500 x3

---

Result of the stability comparison: A is the most stable of them.

---

--- A ---
# SrAlReAu2

An optimized crystal structure of SrAlReAu2 (PBE, the Alexandria database).

The spin magnetization comes out at 4.3 μB per formula unit. The calculation puts the density at 6.249 Mg/m³. The calculated volume comes out at 185 Å³/cell.

Cell lengths 5.558, 5.558, 5.976 Å; angles 90.00, 90.00, 90.00 degrees
Space group P4/mmm (No. 123)
One atom of each set of equivalent atoms:
Sr1 0.000 0.000 0.000 x1
Al1 0.000 0.000 0.500 x1
Re1 0.500 0.500 0.500 x1
Au1 0.000 0.500 0.000 x2

---

--- B ---
# SrAlReAu2

An optimized crystal structure of SrAlReAu2 (PBE, the Alexandria database).

The spin magnetization comes out at 0.0 μB per formula unit. The calculation puts the density at 8.008 Mg/m³. The calculated volume comes out at 144 Å³/cell.

Cell lengths 5.089, 5.089, 5.562 Å; angles 90.00, 90.00, 90.00 degrees
Space group P4/mmm (No. 123)
One atom of each set of equivalent atoms:
Sr1 0.000 0.000 0.000 x1
Al1 0.500 0.500 0.000 x1
Re1 0.000 0.000 0.500 x1
Au1 0.000 0.500 0.500 x2

---

Result of the stability comparison: B is the most stable of them.

---

--- A ---
# AlRhAu3

An optimized crystal structure of AlRhAu3 (PBE, the Alexandria database).

The spin magnetization comes out at 0.0 μB per formula unit. The calculation puts the density at 11.568 Mg/m³. The calculated volume comes out at 103 Å³/cell.

Cell lengths 4.695, 4.695, 4.695 Å; angles 90.00, 90.00, 90.00 degrees
Space group Pm-3m (No. 221)
One atom of each set of equivalent atoms:
Al1 0.000 0.000 0.000 x1
Rh1 0.500 0.500 0.500 x1
Au1 0.000 0.000 0.500 x3

---

--- B ---
# AlRhAu3

An optimized crystal structure of AlRhAu3 (PBE, the Alexandria database).

The spin magnetization comes out at 0.9 μB per formula unit. The calculation puts the density at 9.364 Mg/m³. The calculated volume comes out at 128 Å³/cell.

Cell lengths 5.037, 5.037, 5.037 Å; angles 90.00, 90.00, 90.00 degrees
Space group Pm-3m (No. 221)
One atom of each set of equivalent atoms:
Al1 0.000 0.000 0.000 x1
Rh1 0.500 0.500 0.500 x1
Au1 0.000 0.500 0.500 x3

---

Result of the stability comparison: A is the most stable of them.

---

--- A ---
# AlRuAu3

An optimized crystal structure of AlRuAu3 (PBE, the Alexandria database).

The spin magnetization comes out at 2.2 μB per formula unit. The calculation puts the density at 9.210 Mg/m³. The calculated volume comes out at 130 Å³/cell.

Cell lengths 5.061, 5.061, 5.061 Å; angles 90.00, 90.00, 90.00 degrees
Space group Pm-3m (No. 221)
One atom of each set of equivalent atoms:
Al1 0.000 0.000 0.000 x1
Ru1 0.500 0.500 0.500 x1
Au1 0.000 0.500 0.500 x3

---

--- B ---
# AlRuAu3

An optimized crystal structure of AlRuAu3 (PBE, the Alexandria database).

The spin magnetization comes out at 2.2 μB per formula unit. The calculation puts the density at 11.439 Mg/m³. The calculated volume comes out at 104 Å³/cell.

Cell lengths 4.708, 4.708, 4.708 Å; angles 90.00, 90.00, 90.00 degrees
Space group Pm-3m (No. 221)
One atom of each set of equivalent atoms:
Al1 0.000 0.000 0.000 x1
Ru1 0.500 0.500 0.500 x1
Au1 0.000 0.000 0.500 x3

---

Result of the stability comparison: B is the most stable of them.

---

--- A ---
# AlRuAu

An optimized crystal structure of AlRuAu (PBE, the Alexandria database).

The spin magnetization comes out at 0.2 μB per formula unit. The calculation puts the density at 10.402 Mg/m³. The calculated volume comes out at 104 Å³/cell.

Cell lengths 4.225, 4.225, 5.814 Å; angles 90.00, 90.00, 90.00 degrees
Space group P4/nmm (No. 129, origin choice 2)
One atom of each set of equivalent atoms:
Al1 0.250 0.250 0.224 x2
Ru1 0.250 0.750 0.000 x2
Au1 0.250 0.750 0.500 x2

---

--- B ---
# AlRuAu

An optimized crystal structure of AlRuAu (PBE, the Alexandria database).

The spin magnetization comes out at 0.2 μB per formula unit. The calculation puts the density at 11.561 Mg/m³. The calculated volume comes out at 47 Å³/cell.

Cell lengths 4.3134, 4.3134, 2.8973 Å; angles 90.00, 90.00, 120.00 degrees
Space group P3m1 (No. 156)
One atom of each set of equivalent atoms:
Al1 0.0000 0.0000 0.0000 x1
Ru1 0.3333 0.6667 0.5999 x1
Au1 0.6667 0.3333 0.1111 x1

---

Result of the stability comparison: B is the most stable of them.

---

--- A ---
# AlRuAu

An optimized crystal structure of AlRuAu (PBE, the Alexandria database).

The spin magnetization comes out at 0.0 μB per formula unit. The calculation puts the density at 11.496 Mg/m³. The calculated volume comes out at 188 Å³/cell.

Cell lengths 3.186, 4.632, 12.723 Å; angles 90.00, 90.00, 90.00 degrees
Space group Fmm2 (No. 42)
One atom of each set of equivalent atoms:
Al1 0.000 0.000 0.000 x4
Ru1 0.000 0.000 0.644 x4
Au1 0.000 0.000 0.332 x4

---

--- B ---
# AlRuAu

An optimized crystal structure of AlRuAu (PBE, the Alexandria database).

The spin magnetization comes out at 0.0 μB per formula unit. The calculation puts the density at 10.648 Mg/m³. The calculated volume comes out at 203 Å³/cell.

Cell lengths 5.875, 5.875, 5.875 Å; angles 90.00, 90.00, 90.00 degrees
Space group F-43m (No. 216)
One atom of each set of equivalent atoms:
Al1 0.000 0.000 0.000 x4
Ru1 0.250 0.250 0.750 x4
Au1 0.250 0.250 0.250 x4

---

Result of the stability comparison: B is the most stable of them.

---

--- A ---
# AlRuAu

An optimized crystal structure of AlRuAu (PBE, the Alexandria database).

The spin magnetization comes out at 0.0 μB per formula unit. The calculation puts the density at 11.742 Mg/m³. The calculated volume comes out at 92 Å³/cell.

Cell lengths 3.032, 3.032, 10.000 Å; angles 90.00, 90.00, 90.00 degrees
Space group I4mm (No. 107)
One atom of each set of equivalent atoms:
Al1 0.000 0.000 0.000 x2
Ru1 0.000 0.000 0.635 x2
Au1 0.000 0.000 0.329 x2

---

--- B ---
# AlRuAu

An optimized crystal structure of AlRuAu (PBE, the Alexandria database).

The spin magnetization comes out at 0.0 μB per formula unit. The calculation puts the density at 11.551 Mg/m³. The calculated volume comes out at 47 Å³/cell.

Cell lengths 2.8896, 2.8896, 6.4613 Å; angles 90.00, 90.00, 120.00 degrees
Space group P3m1 (No. 156)
One atom of each set of equivalent atoms:
Al1 0.0000 0.0000 0.0000 x1
Ru1 0.3333 0.6667 0.7102 x1
Au1 0.6667 0.3333 0.3382 x1

---

Result of the stability comparison: A is the most stable of them.

---

--- A ---
# AlAu3S

An optimized crystal structure of AlAu3S (PBE, the Alexandria database).

The spin magnetization comes out at 0.0 μB per formula unit. The calculation puts the density at 9.401 Mg/m³. The calculated volume comes out at 115 Å³/cell.

Cell lengths 4.860, 4.860, 4.860 Å; angles 90.00, 90.00, 90.00 degrees
Space group Pm-3m (No. 221)
One atom of each set of equivalent atoms:
Al1 0.000 0.000 0.000 x1
Au1 0.000 0.500 0.500 x3
S1 0.500 0.500 0.500 x1

---

--- B ---
# AlAu3S

An optimized crystal structure of AlAu3S (PBE, the Alexandria database).

The spin magnetization comes out at 0.0 μB per formula unit. The calculation puts the density at 9.518 Mg/m³. The calculated volume comes out at 113 Å³/cell.

Cell lengths 4.840, 4.840, 4.840 Å; angles 90.00, 90.00, 90.00 degrees
Space group Pm-3m (No. 221)
One atom of each set of equivalent atoms:
Al1 0.000 0.000 0.000 x1
Au1 0.000 0.000 0.500 x3
S1 0.500 0.500 0.500 x1

---

Result of the stability comparison: A is the most stable of them.

---

--- A ---
# Al3AuS

An optimized crystal structure of Al3AuS (PBE, the Alexandria database).

The spin magnetization comes out at 0.0 μB per formula unit. The calculation puts the density at 4.597 Mg/m³. The calculated volume comes out at 112 Å³/cell.

Cell lengths 4.820, 4.820, 4.820 Å; angles 90.00, 90.00, 90.00 degrees
Space group Pm-3m (No. 221)
One atom of each set of equivalent atoms:
Al1 0.000 0.000 0.500 x3
Au1 0.000 0.000 0.000 x1
S1 0.500 0.500 0.500 x1

---

--- B ---
# Al3AuS

An optimized crystal structure of Al3AuS (PBE, the Alexandria database).

The spin magnetization comes out at 0.0 μB per formula unit. The calculation puts the density at 5.149 Mg/m³. The calculated volume comes out at 100 Å³/cell.

Cell lengths 4.641, 4.641, 4.641 Å; angles 90.00, 90.00, 90.00 degrees
Space group Pm-3m (No. 221)
One atom of each set of equivalent atoms:
Al1 0.000 0.000 0.500 x3
Au1 0.500 0.500 0.500 x1
S1 0.000 0.000 0.000 x1

---

Result of the stability comparison: A is the most stable of them.

---

--- A ---
# Al2Au2S

An optimized crystal structure of Al2Au2S (PBE, the Alexandria database).

The spin magnetization comes out at 0.0 μB per formula unit. The calculation puts the density at 8.792 Mg/m³. The calculated volume comes out at 181 Å³/cell.

Cell lengths 7.067, 7.067, 3.630 Å; angles 90.00, 90.00, 90.00 degrees
Space group P4/mbm (No. 127)
One atom of each set of equivalent atoms:
Al1 0.175 0.325 0.000 x4
Au1 0.136 0.636 0.500 x4
S1 0.000 0.000 0.000 x2

---

--- B ---
# Al2Au2S

An optimized crystal structure of Al2Au2S (PBE, the Alexandria database).

The spin magnetization comes out at 0.0 μB per formula unit. The calculation puts the density at 8.393 Mg/m³. The calculated volume comes out at 190 Å³/cell.

Cell lengths 3.831, 3.831, 12.940 Å; angles 90.00, 90.00, 90.00 degrees
Space group I4/mmm (No. 139)
One atom of each set of equivalent atoms:
Al1 0.000 0.000 0.096 x4
Au1 0.000 0.500 0.250 x4
S1 0.000 0.000 0.500 x2

---

Result of the stability comparison: A is the most stable of them.

---

--- A ---
# AlSbAu3

An optimized crystal structure of AlSbAu3 (PBE, the Alexandria database).

The spin magnetization comes out at 0.0 μB per formula unit. The calculation puts the density at 12.212 Mg/m³. The calculated volume comes out at 201 Å³/cell.

Cell lengths 3.413, 5.687, 10.365 Å; angles 90.00, 90.00, 90.00 degrees
Space group Pmmn (No. 59, origin choice 2)
One atom of each set of equivalent atoms:
Al1 0.250 0.250 0.038 x2
Sb1 0.250 0.250 0.406 x2
Au1 0.250 0.001 0.827 x4
Au2 0.250 0.750 0.367 x2

---

--- B ---
# AlSbAu3

An optimized crystal structure of AlSbAu3 (PBE, the Alexandria database).

The spin magnetization comes out at 0.0 μB per formula unit. The calculation puts the density at 8.457 Mg/m³. The calculated volume comes out at 145 Å³/cell.

Cell lengths 5.256, 5.256, 5.256 Å; angles 90.00, 90.00, 90.00 degrees
Space group Pm-3m (No. 221)
One atom of each set of equivalent atoms:
Al1 0.000 0.000 0.000 x1
Sb1 0.500 0.500 0.500 x1
Au1 0.000 0.500 0.500 x3

---

--- C ---
# AlSbAu3

An optimized crystal structure of AlSbAu3 (PBE, the Alexandria database).

The spin magnetization comes out at 0.0 μB per formula unit. The calculation puts the density at 10.703 Mg/m³. The calculated volume comes out at 115 Å³/cell.

Cell lengths 4.859, 4.859, 4.859 Å; angles 90.00, 90.00, 90.00 degrees
Space group Pm-3m (No. 221)
One atom of each set of equivalent atoms:
Al1 0.000 0.000 0.000 x1
Sb1 0.500 0.500 0.500 x1
Au1 0.000 0.000 0.500 x3

---

Result of the stability comparison: A is the most stable of them.